(1)
Here is an optimized crystal structure of SrBe13 from Alexandria via LeMat-Bulk. Energies are from PBE.

a b c (Å): 10.4045 10.4045 10.4045
angles (deg): 90.00 90.00 90.00
Closest atoms and distances in Å follow each position.
Space group Fm-3c (No. 226)
Unique sites:
Sr (0.2500, 0.2500, 0.2500) (multiplicity 8)  24 Be 3.08
Be (0.0000, 0.0000, 0.0000) (multiplicity 8)  12 Be 2.15
Be (0.0000, 0.1095, 0.1755) (multiplicity 96)  10 Be 2.15-2.34

## Properties
Energy of formation from the pure elements = -0.05 eV/atom
E_tot = -3.63 eV/atom
Calculated volume = 10.056 Å³ per atom

---

(2)
Here is an optimized crystal structure of SrOs2Pt from Alexandria via LeMat-Bulk. Energies are from PBE.

a b c (Å): 8.7934 2.8131 6.4988
angles (deg): 90.00 97.79 90.00
Closest atoms and distances in Å follow each position.
Space group Cm (No. 8)
Unique sites:
Sr (0.0000, 0.0000, 0.0000) (multiplicity 2)  2 Sr 2.81, 3 Pt 3.07-3.15
Os (0.0021, 0.5000, 0.4702) (multiplicity 2)  3 Os 2.50-2.58, 2 Pt 2.77
Os (0.2601, 0.5000, 0.3483) (multiplicity 2)  3 Os 2.50-2.58, 2 Pt 2.69
Pt (0.2390, 0.0000, 0.6969) (multiplicity 2)  5 Os 2.69-2.91, 2 Pt 2.81

## Properties
Energy of formation from the pure elements = 0.43 eV/atom
E_tot = -7.12 eV/atom
Relative energy among the computed polymorphs = 161 meV per atom
Calculated volume = 19.909 Å³ per atom

---

(3)
Here is an optimized crystal structure of CrFeTcIr from Alexandria via LeMat-Bulk. Energies are from PBE.

a b c (Å): 5.9633 5.9633 5.9633
angles (deg): 90.00 90.00 90.00
Closest atoms and distances in Å follow each position.
Space group F-43m (No. 216)
Unique sites:
Cr (0.0000, 0.0000, 0.0000) (multiplicity 4)  4 Tc 2.58, 4 Ir 2.58
Fe (0.0000, 0.0000, 0.5000) (multiplicity 4)  4 Tc 2.58, 4 Ir 2.58
Tc (0.2500, 0.2500, 0.7500) (multiplicity 4)  4 Cr 2.58, 4 Fe 2.58
Ir (0.2500, 0.2500, 0.2500) (multiplicity 4)  4 Cr 2.58, 4 Fe 2.58

## Properties
Energy of formation from the pure elements = 0.06 eV/atom
E_tot = -9.27 eV/atom
Calculated volume = 13.254 Å³ per atom

---

(4)
Here is an optimized crystal structure of ZrBe2Au from Alexandria via LeMat-Bulk. Energies are from PBE.

a b c (Å): 4.1429 4.1429 15.8047
angles (deg): 90.00 90.00 90.00
Closest atoms and distances in Å follow each position.
Space group I4_1/amd (No. 141, origin choice 2)
Unique sites:
Zr (0.0000, 0.2500, 0.3750) (multiplicity 4)  4 Au 2.93, 8 Be 3.04
Be (0.0000, 0.0000, 0.0000) (multiplicity 8)  2 Be 2.07, 2 Au 2.23
Au (0.0000, 0.2500, 0.8750) (multiplicity 4)  4 Be 2.23

## Properties
Energy of formation from the pure elements = 0.15 eV/atom
E_tot = -4.67 eV/atom
Relative energy among the computed polymorphs = 500 meV per atom
Calculated volume = 16.954 Å³ per atom